Below is an optimized crystal structure of LiPuScPt, with properties calculated at the PBE-GGA level. Values from VASP.

Results
Its total moment is 1.398 μB/atom. For the formation energy from the elements, the calculation gives -28.0 kJ per mole of atoms. The value obtained for the total DFT energy (no corrections) is -29.78 eV per cell. The calculation puts the density of states at the Fermi level at 11.93 states/eV per cell. The space group is F-43m.

Geometry as Quantum ESPRESSO input:
```
&SYSTEM
  ibrav = 0, nat = 4, ntyp = 4
/
ATOMIC_SPECIES
Li 6.94 Li.upf
Pu 244.00 Pu.upf
Sc 44.96 Sc.upf
Pt 195.08 Pt.upf
ATOMIC_POSITIONS angstrom
Li 0.000 0.000 0.000
Pu 4.997 4.997 4.997
Sc 3.331 3.331 3.331
Pt 1.666 1.666 1.666
CELL_PARAMETERS angstrom
0.000 3.331 3.331
3.331 0.000 3.331
3.331 3.331 0.000
```

Below is an optimized crystal structure of Sr3Ge8Pd3, with properties calculated at the PBE-GGA level. Values from VASP.

Results
Its total moment is 0.000 μB/atom. For the formation energy from the elements, the calculation gives -45.2 kJ per mole of atoms. The value obtained for the total DFT energy (no corrections) is -64.12 eV per cell. The calculation puts the density of states at the Fermi level at 6.46 states/eV per cell. As for the offset from the most stable computed form: 0.0000 eV per atom. The space group is C2/m.

Geometry as Quantum ESPRESSO input:
```
&SYSTEM
  ibrav = 0, nat = 14, ntyp = 3
/
ATOMIC_SPECIES
Sr 87.62 Sr.upf
Ge 72.64 Ge.upf
Pd 106.42 Pd.upf
ATOMIC_POSITIONS angstrom
Sr 0.000 0.000 0.000
Sr 3.567 0.000 2.618
Sr 9.537 0.000 5.640
Ge 0.376 0.000 3.399
Ge -0.579 0.000 7.466
Ge 3.443 0.000 6.123
Ge 6.954 0.000 2.475
Ge 6.151 0.000 5.784
Ge 9.661 0.000 2.135
Ge 13.684 0.000 0.793
Ge 12.729 0.000 4.860
Pd -2.028 0.000 4.129
Pd 1.979 0.000 8.191
Pd 11.125 0.000 0.067
CELL_PARAMETERS angstrom
8.581 -2.159 0.000
8.581 2.159 0.000
-4.057 0.000 8.258
```

Below is an optimized crystal structure of PrAl4Ni2, with properties calculated at the PBE-GGA level. Values from VASP.

Results
Its total moment is 0.000 μB/atom. For the formation energy from the elements, the calculation gives -56.8 kJ per mole of atoms. The value obtained for the total DFT energy (no corrections) is -141.73 eV per cell. The calculation puts the density of states at the Fermi level at 12.50 states/eV per cell. As for the offset from the most stable computed form: 0.0000 eV per atom. The space group is Pnma.

Geometry as Quantum ESPRESSO input:
```
&SYSTEM
  ibrav = 0, nat = 28, ntyp = 3
/
ATOMIC_SPECIES
Pr 140.91 Pr.upf
Al 26.98 Al.upf
Ni 58.69 Ni.upf
ATOMIC_POSITIONS angstrom
Pr 2.012 1.020 0.127
Pr 6.463 3.060 3.594
Pr 10.488 1.020 3.340
Pr 14.939 3.060 6.806
Al 0.622 3.060 5.005
Al 1.673 1.020 3.515
Al 3.210 3.060 2.398
Al 3.460 3.060 5.063
Al 5.015 1.020 1.596
Al 5.266 1.020 5.865
Al 6.803 3.060 0.048
Al 7.854 1.020 1.538
Al 9.098 3.060 5.396
Al 10.149 1.020 6.885
Al 11.686 3.060 1.068
Al 11.936 3.060 5.337
Al 13.491 1.020 1.871
Al 13.741 1.020 4.535
Al 15.278 3.060 3.419
Al 16.329 1.020 1.929
Ni 0.593 3.060 2.474
Ni 4.008 1.020 3.775
Ni 4.468 3.060 0.309
Ni 7.882 1.020 5.940
Ni 9.069 3.060 0.993
Ni 12.483 1.020 6.625
Ni 12.944 3.060 3.158
Ni 16.358 1.020 4.460
CELL_PARAMETERS angstrom
16.951 0.000 0.000
0.000 4.080 0.000
0.000 0.000 6.933
```

Below is an optimized crystal structure of CsK2YI6, with properties calculated at the PBE-GGA level. Values from VASP.

Results
Its total moment is 0.000 μB/atom. The value obtained for the total DFT energy (no corrections) is -33.45 eV per cell. The calculation puts the density of states at the Fermi level at 0.00 states/eV per cell. The calculation puts the formation energy from raw total energies at -1464 meV/atom. The space group is R3.

Geometry as Quantum ESPRESSO input:
```
&SYSTEM
  ibrav = 0, nat = 10, ntyp = 4
/
ATOMIC_SPECIES
Cs 132.91 Cs.upf
K 39.10 K.upf
Y 88.91 Y.upf
I 126.90 I.upf
ATOMIC_POSITIONS angstrom
Cs 0.000 0.000 0.000
K 0.000 0.000 6.742
K 0.000 0.000 18.851
Y 0.000 0.000 11.374
I -2.404 -0.155 9.480
I -1.395 -2.144 13.055
I 1.336 -2.005 9.480
I -1.160 2.280 13.055
I 1.068 2.160 9.480
I 2.555 -0.136 13.055
CELL_PARAMETERS angstrom
4.419 2.551 7.817
-4.419 2.551 7.817
0.000 -5.103 7.817
```

Q: density of states at the Fermi level of number 4 (CsK2YI6)?
A: 0.00 states/eV per cell

Q: Which of these has the highest density of states at the Fermi level?
A: PrAl4Ni2

Q: Which of these has the highest density of states at the Fermi level?
A: PrAl4Ni2

Q: Which value of density of states at the Fermi level does entry 4 give?
A: 0.00 states/eV per cell